No. 1
# Li2HoVO4

A relaxed structure of Li2HoVO4 (GGA+U, Alexandria).

Output
Theoretical density = 5449 kg/m3
Calculated volume = 11.190 Å³ per atom
DFT total energy = -6.92 eV/atom

CIF file:
```
data_Li2HoVO4
_cell_length_a 4.248
_cell_length_b 4.248
_cell_length_c 9.921
_cell_angle_alpha 90.00
_cell_angle_beta 90.00
_cell_angle_gamma 90.00
_symmetry_space_group_name_H-M 'I -4 m 2'
_symmetry_Int_Tables_number 119
_symmetry_space_group_name_Hall 'I -4 -2'
loop_
_atom_site_label
_atom_site_fract_x
_atom_site_fract_y
_atom_site_fract_z
Li1 0.000 0.000 0.000
Li2 0.000 0.500 0.250
Ho1 0.000 0.500 0.750
V1 0.000 0.000 0.500
O1 0.000 0.000 0.290
O2 0.000 0.500 0.512
```

No. 2
# LiHo2VO6

A relaxed structure of LiHo2VO6 (GGA+U, Alexandria).

Output
Theoretical density = 7254 kg/m3
Calculated volume = 11.074 Å³ per atom
DFT total energy = -7.64 eV/atom

CIF file:
```
data_LiHo2VO6
_cell_length_a 5.238
_cell_length_b 5.646
_cell_length_c 9.063
_cell_angle_alpha 90.00
_cell_angle_beta 124.27
_cell_angle_gamma 90.00
_symmetry_space_group_name_H-M 'P 1 21/c 1'
_symmetry_Int_Tables_number 14
loop_
_symmetry_equiv_pos_as_xyz
'x,y,z'
'-x,-y,-z'
'-x,y+1/2,-z+1/2'
'x,-y+1/2,z+1/2'
loop_
_atom_site_label
_atom_site_fract_x
_atom_site_fract_y
_atom_site_fract_z
Li1 0.000 0.000 0.000
Ho1 0.227 0.078 0.747
V1 0.500 0.000 0.500
O1 0.151 0.176 0.447
O2 0.266 0.711 0.437
O3 0.376 0.042 0.261
```

No. 3
# LiHo2WO6

A relaxed structure of LiHo2WO6 (GGA+U, Alexandria).

Output
Theoretical density = 7674 kg/m3
Calculated volume = 13.343 Å³ per atom
DFT total energy = -7.63 eV/atom

CIF file:
```
data_LiHo2WO6
_cell_length_a 5.535
_cell_length_b 5.563
_cell_length_c 5.912
_cell_angle_alpha 61.98
_cell_angle_beta 62.92
_cell_angle_gamma 60.17
_symmetry_space_group_name_H-M 'P 1'
_symmetry_Int_Tables_number 1
loop_
_symmetry_equiv_pos_as_xyz
'x,y,z'
loop_
_atom_site_label
_atom_site_fract_x
_atom_site_fract_y
_atom_site_fract_z
Li1 0.000 0.000 0.000
Ho1 0.241 0.230 0.284
Ho2 0.746 0.749 0.767
W1 0.537 0.540 0.381
O1 0.172 0.800 0.582
O2 0.339 0.638 0.121
O3 0.435 0.177 0.582
O4 0.639 0.912 0.106
O5 0.790 0.453 0.572
O6 0.902 0.335 0.116
```

No. 4
# LiHoW2O8

A relaxed structure of LiHoW2O8 (GGA+U, Alexandria).

Output
Theoretical density = 7293 kg/m3
Calculated volume = 12.666 Å³ per atom
DFT total energy = -7.47 eV/atom

CIF file:
```
data_LiHoW2O8
_cell_length_a 5.087
_cell_length_b 5.975
_cell_length_c 11.036
_cell_angle_alpha 90.00
_cell_angle_beta 115.00
_cell_angle_gamma 90.00
_symmetry_space_group_name_H-M 'P 1 2/c 1'
_symmetry_Int_Tables_number 13
loop_
_symmetry_equiv_pos_as_xyz
'x,y,z'
'-x,-y,-z'
'-x,y,-z+1/2'
'x,-y,z+1/2'
loop_
_atom_site_label
_atom_site_fract_x
_atom_site_fract_y
_atom_site_fract_z
Li1 0.000 0.234 0.250
Ho1 0.500 0.167 0.750
W1 0.263 0.330 0.011
O1 0.160 0.390 0.599
O2 0.234 0.137 0.133
O3 0.277 0.134 0.886
O4 0.339 0.408 0.391
```